(1)
The following is a DFT calculation (PBE) of a relaxed NaTmTeSe crystal.

Its mass density is 5.9 Mg/m³. For the total magnetization, the calculation gives 0.001 μB per atom. Its total energy is -55.05 eV/cell.

The space group is R3m (No. 160, hexagonal axes) and the conventional cell measures 4.2194, 4.2194 and 21.7826 Å, with angles of 90.00, 90.00 and 120.00 degrees. The inequivalent atoms are Na at (0.0000, 0.0000, 0.0000), Tm at (0.0000, 0.0000, 0.4884), Te at (0.0000, 0.0000, 0.2382) and Se at (0.0000, 0.0000, 0.7526).

(2)
The following is a DFT calculation (PBE) of a relaxed Zr2GaO4 crystal.

Its mass density is 5.1 Mg/m³. For the total magnetization, the calculation gives 0.000 μB per atom. Its total energy is -456.20 eV/cell.

The space group is Fd-3m (No. 227, origin choice 2) and the conventional cell measures 9.391, 9.391 and 9.391 Å, with angles of 90.00, 90.00 and 90.00 degrees. The inequivalent atoms are Zr at (0.000, 0.000, 0.000), Ga at (0.125, 0.125, 0.625) and O at (0.020, 0.020, 0.230).

(3)
The following is a DFT calculation (PBE) of a relaxed LuNbSe3 crystal.

Its mass density is 7.3 Mg/m³. For the total magnetization, the calculation gives 0.026 μB per atom. Its total energy is -123.73 eV/cell.

The space group is C2 (No. 5) and the conventional cell measures 6.762, 11.387 and 6.384 Å, with angles of 90.00, 110.31 and 90.00 degrees. The inequivalent atoms are Lu at (0.000, 0.000, 0.000), Lu at (0.000, 0.336, 0.000), Nb at (0.000, 0.672, 0.000), Nb at (0.000, 0.830, 0.500), Se at (0.236, 0.663, 0.733), Se at (0.244, 0.327, 0.735) and Se at (0.247, 0.006, 0.730).

(4)
The following is a DFT calculation (PBE) of a relaxed Zr2Ta4Sb3C3 crystal.

Its mass density is 10.9 Mg/m³. For the total magnetization, the calculation gives 0.000 μB per atom. Its total energy is -441.72 eV/cell.

The space group is C2/c (No. 15) and the conventional cell measures 10.234, 5.916 and 13.631 Å, with angles of 90.00, 104.47 and 90.00 degrees. The inequivalent atoms are Zr at (0.050, 0.081, 0.407), Ta at (0.110, 0.411, 0.580), Ta at (0.226, 0.419, 0.920), Sb at (0.000, 0.433, 0.250), Sb at (0.175, 0.091, 0.751), C at (0.085, 0.256, 0.000) and C at (0.250, 0.250, 0.500).

(5)
The following is a DFT calculation (PBE) of a relaxed CoW crystal.

Its mass density is 14.0 Mg/m³. The calculation puts the calculated formation energy at 843 meV per atom. For the total magnetization, the calculation gives 0.019 μB per atom.

The space group is Fm-3m (No. 225) and the conventional cell measures 4.866, 4.866 and 4.866 Å, with angles of 90.00, 90.00 and 90.00 degrees. The inequivalent atoms are Co at (0.000, 0.000, 0.000) and W at (0.000, 0.000, 0.500).

(6)
The following is a DFT calculation (PBE) of a relaxed Er2LuAg4Ge4 crystal.

Its mass density is 9.2 Mg/m³. For the total magnetization, the calculation gives 0.000 μB per atom. Its total energy is -97.37 eV/cell.

The space group is Immm (No. 71) and the conventional cell measures 4.313, 7.118 and 14.429 Å, with angles of 90.00, 90.00 and 90.00 degrees. The inequivalent atoms are Er at (0.000, 0.000, 0.125), Lu at (0.000, 0.500, 0.000), Ag at (0.000, 0.199, 0.330), Ge at (0.000, 0.314, 0.500) and Ge at (0.000, 0.500, 0.216).